CaPuRuN3 | PBE-GGA | relaxed

Cell: 6.8947 3.4447 8.6758 Å, 90.00 102.01 90.00°
Last column: nearest neighbours and their distance in Å.
Space group P2_1/m (No. 11)
Inequivalent atoms, fractional coordinates:
Ca: 0.1713 0.2500 0.1497 x2  5 N 2.47-2.61
Pu: 0.3407 0.7500 0.8484 x2  6 N 2.25-2.34
Ru: 0.0294 0.2500 0.6162 x2  4 N 2.01-2.06
N: 0.1145 0.2500 0.8585 x2  1 Ru 2.06
N: 0.1681 0.7500 0.5903 x2  3 Ru 2.01
N: 0.4308 0.7500 0.1134 x2  3 Pu 2.25-2.31

energy: -9.08 eV/atom
M_tot: 7.25 μB/cell